VASP calculation (PBE) on crystalline TePbAu3 at its relaxed geometry.

Calculated values
The relative energy among the computed polymorphs is 0.348 eV/atom. The calculation puts the total energy at -2.5784 eV per atom. The magnetization is 0.0 μB/f.u. Its raw formation energy is 0.758 eV per atom. Its theoretical density is 10.12 g/cm³.

abc: 5.335 5.335 5.335
angles: 90.00 90.00 90.00
Fractional positions:
Pb: 0.000 0.000 0.000
Te: 0.500 0.500 0.500
Au: 0.000 0.500 0.000
Au: 0.000 0.000 0.500
Au: 0.500 0.000 0.000

***

VASP calculation (PBE) on crystalline Te2PbAu at its relaxed geometry.

Calculated values
The calculation puts the total energy at -3.4479 eV per atom. The magnetization is 0.0 μB/f.u. Its raw formation energy is -0.131 eV per atom. Its theoretical density is 9.41 g/cm³.

abc: 7.510 7.510 7.510
angles: 33.73 33.73 33.73
Fractional positions:
Au: 0.250 0.250 0.250
Pb: 0.750 0.750 0.750
Te: 0.988 0.988 0.988
Te: 0.512 0.512 0.512

***

VASP calculation (PBE) on crystalline TePbAu4 at its relaxed geometry.

Calculated values
The calculation puts the total energy at -3.3501 eV per atom. The magnetization is 0.0 μB/f.u. Its raw formation energy is -0.023 eV per atom. Its theoretical density is 14.06 g/cm³.

abc: 5.724 5.724 5.724
angles: 60.00 60.00 60.00
Fractional positions:
Au: 0.126 0.625 0.625
Au: 0.625 0.625 0.625
Au: 0.625 0.126 0.625
Au: 0.625 0.625 0.126
Pb: 0.250 0.250 0.250
Te: 0.000 0.000 0.000

***

VASP calculation (PBE) on crystalline Te12Pb3Au5 at its relaxed geometry.

Calculated values
The calculation puts the total energy at -3.2273 eV per atom. The magnetization is 0.0 μB/f.u. Its raw formation energy is 0.033 eV per atom. Its theoretical density is 7.85 g/cm³.

abc: 15.106 15.106 15.106
angles: 109.47 109.47 109.47
Fractional positions:
Pb: 0.750 0.375 0.125
Pb: 0.875 0.750 0.125
Pb: 0.375 0.750 0.625
Pb: 0.250 0.125 0.375
Pb: 0.875 0.125 0.250
Pb: 0.375 0.625 0.250
Pb: 0.625 0.375 0.750
Pb: 0.125 0.875 0.750
Pb: 0.750 0.875 0.625
Pb: 0.625 0.250 0.375
Pb: 0.125 0.250 0.875
Pb: 0.250 0.625 0.875
Au: 0.125 0.375 0.250
Au: 0.000 0.500 0.000
Au: 0.000 0.000 0.000
Au: 0.375 0.250 0.125
Au: 0.500 0.000 0.500
Au: 0.500 0.500 0.000
Au: 0.125 0.750 0.375
Au: 0.750 0.125 0.875
Au: 0.750 0.625 0.375
Au: 0.375 0.125 0.750
Au: 0.625 0.875 0.250
Au: 0.500 0.500 0.500
Au: 0.500 0.000 0.000
Au: 0.000 0.000 0.500
Au: 0.250 0.375 0.625
Au: 0.250 0.875 0.125
Au: 0.000 0.500 0.500
Au: 0.875 0.250 0.625
Au: 0.625 0.750 0.875
Au: 0.875 0.625 0.750
Te: 0.707 0.124 0.035
Te: 0.329 0.535 0.412
Te: 0.965 0.376 0.293
Te: 0.535 0.207 0.124
Te: 0.583 0.707 0.671
Te: 0.965 0.588 0.171
Te: 0.329 0.793 0.417
Te: 0.088 0.917 0.124
Te: 0.588 0.965 0.671
Te: 0.707 0.583 0.171
Te: 0.793 0.465 0.376
Te: 0.829 0.912 0.035
Te: 0.124 0.707 0.535
Te: 0.376 0.412 0.083
Te: 0.083 0.912 0.376
Te: 0.417 0.124 0.588
Te: 0.083 0.171 0.207
Te: 0.465 0.671 0.088
Te: 0.829 0.917 0.293
Te: 0.124 0.417 0.088
Te: 0.376 0.965 0.793
Te: 0.588 0.624 0.417
Te: 0.912 0.829 0.535
Te: 0.793 0.329 0.917
Te: 0.412 0.376 0.583
Te: 0.088 0.171 0.465
Te: 0.207 0.671 0.083
Te: 0.171 0.083 0.707
Te: 0.624 0.035 0.207
Te: 0.876 0.583 0.912
Te: 0.535 0.329 0.912
Te: 0.583 0.876 0.412
Te: 0.917 0.829 0.793
Te: 0.917 0.088 0.624
Te: 0.876 0.293 0.465
Te: 0.171 0.088 0.965
Te: 0.624 0.588 0.917
Te: 0.412 0.035 0.329
Te: 0.293 0.417 0.829
Te: 0.207 0.535 0.624
Te: 0.912 0.083 0.876
Te: 0.671 0.207 0.583
Te: 0.465 0.793 0.876
Te: 0.035 0.412 0.829
Te: 0.417 0.293 0.329
Te: 0.035 0.624 0.707
Te: 0.671 0.465 0.588
Te: 0.293 0.876 0.965

***

VASP calculation (PBE) on crystalline Te2PbAu at its relaxed geometry.

Calculated values
The calculation puts the total energy at -3.1941 eV per atom. The magnetization is 0.0 μB/f.u. Its raw formation energy is 0.123 eV per atom. Its theoretical density is 9.59 g/cm³.

abc: 6.765 6.765 6.765
angles: 142.46 142.46 54.14
Fractional positions:
Au: 0.500 0.500 0.000
Pb: 0.750 0.250 0.500
Te: 0.000 0.000 0.000
Te: 0.250 0.750 0.500

***

VASP calculation (PBE) on crystalline TePbAu3 at its relaxed geometry.

Calculated values
The relative energy among the computed polymorphs is 0.000 eV/atom. The calculation puts the total energy at -2.9266 eV per atom. The magnetization is 0.0 μB/f.u. Its raw formation energy is 0.410 eV per atom. Its theoretical density is 10.25 g/cm³.

abc: 5.313 5.313 5.313
angles: 90.00 90.00 90.00
Fractional positions:
Pb: 0.500 0.500 0.500
Te: 0.000 0.000 0.000
Au: 0.000 0.500 0.000
Au: 0.000 0.000 0.500
Au: 0.500 0.000 0.000